Record 1
NbCoSnHg | PBE | relaxed

Calculated values
* ρ: 10.98 g/cm3
* distance to the lowest polymorph of the same formula: 0 kJ/mol of formula units

Lattice parameters (Å, degrees): 6.580 6.580 6.580 90.00 90.00 90.00
Space group F-43m (No. 216)
Asymmetric unit:
Nb: 0.000 0.000 0.000 [4 per cell]
Co: 0.000 0.000 0.500 [4 per cell]
Sn: 0.250 0.250 0.250 [4 per cell]
Hg: 0.250 0.250 0.750 [4 per cell]

Record 2
YInCu2 | PBE | relaxed

Calculated values
* ρ: 7.20 g/cm3
* electronic total energy: -4.281 eV per atom

Lattice parameters (Å, degrees): 3.422 3.422 6.517 90.00 90.00 90.00
Space group P4/mmm (No. 123)
Asymmetric unit:
Y: 0.000 0.000 0.000 [1 per cell]
In: 0.000 0.000 0.500 [1 per cell]
Cu: 0.500 0.500 0.262 [2 per cell]

Record 3
SrHgPb2 | PBE | relaxed

Calculated values
* ρ: 9.40 g/cm3
* electronic total energy: -2.690 eV per atom

Lattice parameters (Å, degrees): 7.920 7.920 7.920 90.00 90.00 90.00
Space group F-43m (No. 216)
Asymmetric unit:
Sr: 0.000 0.000 0.000 [4 per cell]
Hg: 0.250 0.250 0.750 [4 per cell]
Pb: 0.000 0.000 0.500 [4 per cell]
Pb: 0.250 0.250 0.250 [4 per cell]

Record 4
Zn7Au3 | PBE | relaxed

Calculated values
* ΔH_f (0 K): -0.147 eV per atom
* ρ: 11.10 g/cm3

Lattice parameters (Å, degrees): 11.5842 11.5842 8.1018 90.00 90.00 120.00
Space group P-3 (No. 147)
Asymmetric unit:
Zn: 0.0000 0.0000 0.0000 [1 per cell]
Zn: 0.0000 0.0000 0.5000 [1 per cell]
Zn: 0.0359 0.7913 0.0783 [6 per cell]
Zn: 0.0473 0.7966 0.4259 [6 per cell]
Zn: 0.0855 0.6294 0.8728 [6 per cell]
Zn: 0.0976 0.6241 0.2141 [6 per cell]
Zn: 0.1132 0.4179 0.3632 [6 per cell]
Zn: 0.1409 0.4207 0.7097 [6 per cell]
Zn: 0.3333 0.6667 0.3171 [2 per cell]
Zn: 0.3333 0.6667 0.7949 [2 per cell]
Au: 0.0291 0.8423 0.7505 [6 per cell]
Au: 0.1392 0.6313 0.5433 [6 per cell]
Au: 0.1748 0.4719 0.0383 [6 per cell]

Record 5
SrCd2Ge2 | PBE | relaxed

Calculated values
* ρ: 6.18 g/cm3
* electronic total energy: -2.862 eV per atom

Lattice parameters (Å, degrees): 4.545 4.545 11.912 90.00 90.00 90.00
Space group I4/mmm (No. 139)
Asymmetric unit:
Sr: 0.000 0.000 0.000 [2 per cell]
Cd: 0.000 0.500 0.250 [4 per cell]
Ge: 0.000 0.000 0.393 [4 per cell]

Record 6
LuCuSnAu | PBE | relaxed

Calculated values
* ρ: 11.72 g/cm3
* distance to the lowest polymorph of the same formula: 0 kJ/mol of formula units

Lattice parameters (Å, degrees): 6.798 6.798 6.798 90.00 90.00 90.00
Space group F-43m (No. 216)
Asymmetric unit:
Lu: 0.000 0.000 0.000 [4 per cell]
Cu: 0.250 0.250 0.750 [4 per cell]
Sn: 0.000 0.000 0.500 [4 per cell]
Au: 0.250 0.250 0.250 [4 per cell]